# SrCd2H2 GGA-PBE relaxed
data_SrCd2H2
_cell_length_a 6.362
_cell_length_b 6.362
_cell_length_c 4.790
_cell_angle_alpha 90.00
_cell_angle_beta 90.00
_cell_angle_gamma 90.00
_space_group_name_H-M_alt 'P 4/m b m'
_space_group_IT_number 127
_space_group_name_Hall '-P 4 2ab'
loop_
_atom_site_label
_atom_site_type_symbol
_atom_site_fract_x
_atom_site_fract_y
_atom_site_fract_z
Sr1 Sr 0.000 0.000 0.000
Cd1 Cd 0.165 0.335 0.500
H1 H 0.167 0.333 0.000
# - DOS(E_F) (states/eV per cell) = 1.44
# - magnetization (μB/cell) = 0.000
# - ΔE to the lowest computed polymorph (eV per atom) = 0.000
# - mass density (g/cm³) = 5.39

***

# InReAg2 GGA-PBE relaxed
data_InReAg2
_cell_length_a 2.852
_cell_length_b 2.852
_cell_length_c 8.768
_cell_angle_alpha 90.00
_cell_angle_beta 90.00
_cell_angle_gamma 90.00
_space_group_name_H-M_alt 'P 4 m m'
_space_group_IT_number 99
loop_
_space_group_symop_operation_xyz
'x,y,z'
'-y,x,z'
'-x,-y,z'
'y,-x,z'
'-x,y,z'
'y,x,z'
'x,-y,z'
'-y,-x,z'
loop_
_atom_site_label
_atom_site_type_symbol
_atom_site_fract_x
_atom_site_fract_y
_atom_site_fract_z
In1 In 0.000 0.000 0.000
Re1 Re 0.500 0.500 0.246
Ag1 Ag 0.000 0.000 0.483
Ag2 Ag 0.500 0.500 0.734
# - DOS(E_F) (states/eV per cell) = 2.56
# - magnetization (μB/cell) = 0.234
# - calculated formation energy (eV per atom) = 0.474
# - mass density (g/cm³) = 12.04

***

# RbCdC2O6 GGA-PBE relaxed
data_RbCdC2O6
_cell_length_a 9.217
_cell_length_b 10.007
_cell_length_c 7.222
_cell_angle_alpha 90.00
_cell_angle_beta 111.49
_cell_angle_gamma 90.00
_space_group_name_H-M_alt 'C 1 2/c 1'
_space_group_IT_number 15
loop_
_space_group_symop_operation_xyz
'x,y,z'
'-x,-y,-z'
'-x,y,-z+1/2'
'x,-y,z+1/2'
'x+1/2,y+1/2,z'
'-x+1/2,-y+1/2,-z'
'-x+1/2,y+1/2,-z+1/2'
'x+1/2,-y+1/2,z+1/2'
loop_
_atom_site_label
_atom_site_type_symbol
_atom_site_fract_x
_atom_site_fract_y
_atom_site_fract_z
Rb1 Rb 0.000 0.106 0.250
Cd1 Cd 0.000 0.346 0.750
C1 C 0.220 0.392 0.219
O1 O 0.108 0.327 0.089
O2 O 0.146 0.163 0.692
O3 O 0.203 0.486 0.768
# - DOS(E_F) (states/eV per cell) = 13.76
# - magnetization (μB/cell) = 4.070
# - formation energy (no corrections) (eV per atom) = -1.3581
# - mass density (g/cm³) = 3.41

***

# TiAgAu GGA-PBE relaxed
data_TiAgAu
_cell_length_a 4.6729
_cell_length_b 4.6729
_cell_length_c 2.7485
_cell_angle_alpha 90.00
_cell_angle_beta 90.00
_cell_angle_gamma 120.00
_space_group_name_H-M_alt 'P 3 m 1'
_space_group_IT_number 156
loop_
_space_group_symop_operation_xyz
'x,y,z'
'-y,x-y,z'
'-x+y,-x,z'
'-y,-x,z'
'-x+y,y,z'
'x,x-y,z'
loop_
_atom_site_label
_atom_site_type_symbol
_atom_site_fract_x
_atom_site_fract_y
_atom_site_fract_z
Ti1 Ti 0.0000 0.0000 0.0000
Ag1 Ag 0.3333 0.6667 0.4956
Au1 Au 0.6667 0.3333 0.5047
# - DOS(E_F) (states/eV per cell) = 2.86
# - magnetization (μB/cell) = 0.000
# - calculated formation energy (eV per atom) = -0.112
# - ΔE to the lowest computed polymorph (eV per atom) = 0.120
# - mass density (g/cm³) = 11.27

***

| no. | total DFT energy (no corrections) (eV/atom) |
| --- | --- |
| 1 | -2.14 |
| 2 | -4.75 |
| 3 | -6.37 |
| 4 | -4.79 |